P:
Density functional theory data (PBE-GGA) for a geometry-optimized YSnOF2 structure.

```
YSnOF2
1.0
-4.263 1.201 -0.616
0.591 -0.173 -4.429
-1.204 -4.271 0.006
Y Sn O F
1 1 1 2
Direct
0.000 0.000 0.000 Y
0.500 0.500 0.500 Sn
0.000 0.000 0.500 O
0.000 0.500 0.000 F
0.500 0.000 0.000 F
```

**M_tot**: 0.00 μB/f.u.
**Volume**: 88.75 Å³/cell
**N(E_F)**: 2.19 states/eV per cell

---

Q:
Density functional theory data (PBE-GGA) for a geometry-optimized YSnOF2 structure.

```
YSnOF2
1.0
4.550 0.000 0.000
0.000 4.550 0.000
0.000 0.000 4.381
Y Sn O F
1 1 1 2
Direct
0.500 0.500 0.500 Y
0.000 0.000 0.000 Sn
0.000 0.000 0.500 O
0.000 0.500 0.000 F
0.500 0.000 0.000 F
```

**M_tot**: 0.95 μB/f.u.
**Volume**: 90.68 Å³/cell
**N(E_F)**: 2.13 states/eV per cell

---

Which of them is most stable? Easy: P.

---

P:
Density functional theory data (PBE-GGA) for a geometry-optimized ZnSnOF2 structure.

```
ZnSnOF2
1.0
-0.698 -3.736 -2.270
3.196 1.132 -2.846
2.710 -1.897 2.289
Zn Sn O F
1 1 1 2
Direct
0.500 0.500 0.500 Zn
0.000 0.000 0.000 Sn
0.000 0.000 0.500 O
0.000 0.500 0.000 F
0.500 0.000 0.000 F
```

**M_tot**: 0.18 μB/f.u.
**Volume**: 78.82 Å³/cell
**N(E_F)**: 2.66 states/eV per cell

---

Q:
Density functional theory data (PBE-GGA) for a geometry-optimized ZnSnOF2 structure.

```
ZnSnOF2
1.0
4.070 0.000 0.000
0.000 4.070 0.000
0.000 0.000 4.086
Zn Sn O F
1 1 1 2
Direct
0.000 0.000 0.000 Zn
0.500 0.500 0.500 Sn
0.000 0.000 0.500 O
0.000 0.500 0.000 F
0.500 0.000 0.000 F
```

**M_tot**: 0.00 μB/f.u.
**Volume**: 67.68 Å³/cell
**N(E_F)**: 0.00 states/eV per cell

---

Which of them is most stable? Easy: Q.

---

P:
Density functional theory data (PBE-GGA) for a geometry-optimized ZrSnOF2 structure.

```
ZrSnOF2
1.0
4.504 0.000 0.000
0.000 4.504 0.000
0.000 0.000 4.314
O Sn Zr F
1 1 1 2
Direct
0.000 0.000 0.500 O
0.000 0.000 0.000 Sn
0.500 0.500 0.500 Zr
0.000 0.500 0.000 F
0.500 0.000 0.000 F
```

**M_tot**: 2.27 μB/f.u.
**Volume**: 87.51 Å³/cell
**N(E_F)**: 5.01 states/eV per cell

---

Q:
Density functional theory data (PBE-GGA) for a geometry-optimized ZrSnOF2 structure.

```
ZrSnOF2
1.0
-2.952 2.571 -2.176
-3.218 -3.006 0.814
-0.912 1.930 3.518
O Sn Zr F
1 1 1 2
Direct
0.000 0.000 0.500 O
0.500 0.500 0.500 Sn
0.000 0.000 0.000 Zr
0.000 0.500 0.000 F
0.500 0.000 0.000 F
```

**M_tot**: 0.40 μB/f.u.
**Volume**: 82.52 Å³/cell
**N(E_F)**: 3.09 states/eV per cell

---

Which of them is most stable? Easy: Q.

---

P:
Density functional theory data (PBE-GGA) for a geometry-optimized Sr2OF2 structure.

```
Sr2OF2
1.0
6.289 0.000 0.000
0.000 6.337 -0.079
0.000 -0.120 8.797
Sr O F
8 4 8
Direct
0.937 0.307 0.826 Sr
0.563 0.807 0.826 Sr
0.437 0.193 0.174 Sr
0.063 0.693 0.174 Sr
0.449 0.261 0.597 Sr
0.051 0.761 0.597 Sr
0.949 0.239 0.403 Sr
0.551 0.739 0.403 Sr
0.764 0.495 0.603 O
0.236 0.505 0.397 O
0.736 0.995 0.603 O
0.264 0.005 0.397 O
0.894 0.681 0.921 F
0.606 0.181 0.921 F
0.394 0.819 0.079 F
0.106 0.319 0.079 F
0.221 0.039 0.759 F
0.279 0.539 0.759 F
0.721 0.461 0.241 F
0.779 0.961 0.241 F
```

**M_tot**: 0.00 μB/f.u.
**Volume**: 350.54 Å³/cell
**N(E_F)**: 0.00 states/eV per cell

---

Q:
Density functional theory data (PBE-GGA) for a geometry-optimized Sr2OF2 structure.

```
Sr2OF2
1.0
6.778 0.000 0.000
0.000 6.778 0.000
0.000 0.000 3.601
Sr O F
4 2 4
Direct
0.313 0.813 0.000 Sr
0.813 0.687 0.000 Sr
0.687 0.187 0.000 Sr
0.187 0.313 0.000 Sr
0.000 0.000 0.000 O
0.500 0.500 0.000 O
0.130 0.630 0.500 F
0.630 0.870 0.500 F
0.870 0.370 0.500 F
0.370 0.130 0.500 F
```

**M_tot**: 0.00 μB/f.u.
**Volume**: 165.43 Å³/cell
**N(E_F)**: 0.00 states/eV per cell

---

Which of them is most stable? Easy: P.

---

P:
Density functional theory data (PBE-GGA) for a geometry-optimized SrOF2 structure.

```
SrOF2
1.0
2.587 0.000 2.969
-1.293 2.240 2.969
-1.293 -2.240 2.969
Sr O F
1 1 2
Direct
0.500 0.500 0.500 Sr
0.000 0.000 0.000 O
0.794 0.794 0.794 F
0.206 0.206 0.206 F
```

**M_tot**: 0.00 μB/f.u.
**Volume**: 51.61 Å³/cell
**N(E_F)**: 0.00 states/eV per cell

---

Q:
Density functional theory data (PBE-GGA) for a geometry-optimized SrOF2 structure.

```
SrOF2
1.0
2.386 0.000 3.676
-1.193 2.066 3.676
-1.193 -2.066 3.676
Sr O F
1 1 2
Direct
0.000 0.000 0.000 Sr
0.500 0.500 0.500 O
0.761 0.761 0.761 F
0.239 0.239 0.239 F
```

**M_tot**: 2.00 μB/f.u.
**Volume**: 54.36 Å³/cell
**N(E_F)**: 0.00 states/eV per cell

---

R:
Density functional theory data (PBE-GGA) for a geometry-optimized SrOF2 structure.

```
SrOF2
1.0
-2.207 1.484 -2.874
-5.583 -1.345 3.585
3.121 7.691 0.139
Sr O F
2 2 4
Direct
0.277 0.842 0.550 Sr
0.777 0.345 0.554 Sr
0.646 0.616 0.009 O
0.411 0.569 0.095 O
0.814 0.595 0.416 F
0.314 0.099 0.417 F
0.241 0.592 0.687 F
0.741 0.088 0.686 F
```

**M_tot**: 1.00 μB/f.u.
**Volume**: 190.38 Å³/cell
**N(E_F)**: 0.00 states/eV per cell

---

S:
Density functional theory data (PBE-GGA) for a geometry-optimized SrOF2 structure.

```
SrOF2
1.0
4.195 0.000 0.000
0.000 4.195 0.000
2.098 2.098 7.536
Sr O F
2 2 4
Direct
0.000 0.000 0.000 Sr
0.750 0.250 0.500 Sr
0.500 0.500 0.000 O
0.250 0.750 0.500 O
0.630 0.125 0.250 F
0.120 0.625 0.250 F
0.375 0.370 0.750 F
0.875 0.880 0.750 F
```

**M_tot**: 2.00 μB/f.u.
**Volume**: 132.65 Å³/cell
**N(E_F)**: 2.79 states/eV per cell

---

Which of them is most stable? Easy: R.

---

P:
Density functional theory data (PBE-GGA) for a geometry-optimized SrOF3 structure.

```
SrOF3
1.0
-1.753 5.102 -5.346
-0.912 -3.402 -2.948
-10.581 0.085 3.550
Sr O F
4 4 12
Direct
0.732 0.002 0.896 Sr
0.268 0.502 0.396 Sr
0.732 0.498 0.604 Sr
0.268 0.998 0.104 Sr
0.305 0.120 0.749 O
0.305 0.380 0.751 O
0.695 0.620 0.249 O
0.695 0.880 0.251 O
0.972 0.693 0.466 F
0.028 0.193 0.966 F
0.273 0.500 0.173 F
0.403 0.952 0.902 F
0.727 0.000 0.673 F
0.028 0.307 0.534 F
0.403 0.548 0.598 F
0.273 0.000 0.327 F
0.597 0.048 0.098 F
0.727 0.500 0.827 F
0.972 0.807 0.034 F
0.597 0.452 0.402 F
```

**M_tot**: 1.00 μB/f.u.
**Volume**: 389.26 Å³/cell

---

Q:
Density functional theory data (PBE-GGA) for a geometry-optimized SrOF3 structure.

```
SrOF3
1.0
-1.199 -4.623 -0.367
2.498 -0.963 3.971
-3.907 0.803 2.652
Sr O F
1 1 3
Direct
0.000 0.000 0.000 Sr
0.500 0.500 0.500 O
0.000 0.500 0.000 F
0.000 0.000 0.500 F
0.500 0.000 0.000 F
```

**M_tot**: 3.00 μB/f.u.
**Volume**: 109.87 Å³/cell
**N(E_F)**: 9.89 states/eV per cell

---

Which of them is most stable? Easy: P.